# 1
A plane-wave DFT calculation with PBE was carried out for an optimized crystal structure of CePr4Cd3.

Unit cell a=3.7778 b=3.7778 c=16.7818 alpha=90.00 beta=90.00 gamma=90.00
Closest atoms and distances in Å follow each position.
Sites, in units of the cell vectors:
Ce (0.0000, 0.0000, 0.0000)  8 Pr 3.54, 4 Ce 3.78
Pr (0.5000, 0.5000, 0.1386)  4 Cd 3.34, 4 Ce 3.54
Pr (0.5000, 0.5000, 0.3808)  8 Cd 3.34-3.37
Pr (0.5000, 0.5000, 0.6192)  8 Cd 3.34-3.37
Pr (0.5000, 0.5000, 0.8614)  4 Cd 3.34, 4 Ce 3.54
Cd (0.0000, 0.0000, 0.2585)  8 Pr 3.34-3.37
Cd (0.0000, 0.0000, 0.5000)  8 Pr 3.34
Cd (0.0000, 0.0000, 0.7415)  8 Pr 3.34-3.37

# 2
A plane-wave DFT calculation with PBE was carried out for an optimized crystal structure of Sr2CaW.

- Offset from the most stable computed form: 44 meV/atom

Unit cell a=3.8705 b=5.9991 c=12.3874 alpha=90.00 beta=90.00 gamma=90.00
Closest atoms and distances in Å follow each position.
Sites, in units of the cell vectors:
Sr (0.0000, 0.0000, 0.0000)  2 W 3.23
Sr (0.0000, 0.5000, 0.2004)  4 W 3.57, 4 Sr 3.87-3.89, 2 Ca 3.88
Sr (0.5000, 0.0000, 0.7004)  4 W 3.57, 4 Sr 3.87-3.89, 2 Ca 3.88
Sr (0.5000, 0.5000, 0.5000)  2 W 3.23
Ca (0.0000, 0.0000, 0.3996)  2 W 3.06
Ca (0.5000, 0.5000, 0.8996)  2 W 3.06
W (0.0000, 0.5000, 0.7083)  2 Ca 3.06, 2 Sr 3.23
W (0.5000, 0.0000, 0.2083)  2 Ca 3.06, 2 Sr 3.23

# 3
A plane-wave DFT calculation with PBE was carried out for an optimized crystal structure of CaTbSc2Hg4.

Unit cell a=8.9190 b=8.9190 c=8.9190 alpha=33.50 beta=33.50 gamma=33.50
Closest atoms and distances in Å follow each position.
Sites, in units of the cell vectors:
Ca (0.0000, 0.0000, 0.0000)  8 Hg 3.16-3.17
Tb (0.5000, 0.5000, 0.5000)  8 Hg 3.13-3.14
Sc (0.2513, 0.2513, 0.2513)  8 Hg 3.13-3.17
Sc (0.7487, 0.7487, 0.7487)  8 Hg 3.13-3.17
Hg (0.1255, 0.1255, 0.1255)  3 Tb 3.14, 4 Sc 3.16-3.17, 1 Ca 3.17
Hg (0.3758, 0.3758, 0.3758)  4 Sc 3.13-3.14, 1 Tb 3.13, 3 Ca 3.16
Hg (0.6242, 0.6242, 0.6242)  4 Sc 3.13-3.14, 1 Tb 3.13, 3 Ca 3.16
Hg (0.8745, 0.8745, 0.8745)  3 Tb 3.14, 4 Sc 3.16-3.17, 1 Ca 3.17

# 4
A plane-wave DFT calculation with PBE was carried out for an optimized crystal structure of TmPdPtPb.

Unit cell a=6.8570 b=6.8570 c=6.8570 alpha=90.00 beta=90.00 gamma=90.00
Closest atoms and distances in Å follow each position.
Sites, in units of the cell vectors:
Tm (0.0000, 0.0000, 0.0000)  4 Pd 2.97, 4 Pt 2.97
Tm (0.0000, 0.5000, 0.5000)  4 Pd 2.97, 4 Pt 2.97
Tm (0.5000, 0.0000, 0.5000)  4 Pd 2.97, 4 Pt 2.97
Tm (0.5000, 0.5000, 0.0000)  4 Pd 2.97, 4 Pt 2.97
Pd (0.2500, 0.2500, 0.2500)  4 Pb 2.97, 4 Tm 2.97
Pd (0.2500, 0.7500, 0.7500)  4 Pb 2.97, 4 Tm 2.97
Pd (0.7500, 0.2500, 0.7500)  4 Pb 2.97, 4 Tm 2.97
Pd (0.7500, 0.7500, 0.2500)  4 Pb 2.97, 4 Tm 2.97
Pt (0.2500, 0.2500, 0.7500)  4 Pb 2.97, 4 Tm 2.97
Pt (0.2500, 0.7500, 0.2500)  4 Pb 2.97, 4 Tm 2.97
Pt (0.7500, 0.2500, 0.2500)  4 Pb 2.97, 4 Tm 2.97
Pt (0.7500, 0.7500, 0.7500)  4 Pb 2.97, 4 Tm 2.97
Pb (0.0000, 0.0000, 0.5000)  4 Pd 2.97, 4 Pt 2.97
Pb (0.0000, 0.5000, 0.0000)  4 Pd 2.97, 4 Pt 2.97
Pb (0.5000, 0.0000, 0.0000)  4 Pd 2.97, 4 Pt 2.97
Pb (0.5000, 0.5000, 0.5000)  4 Pd 2.97, 4 Pt 2.97

# 5
A plane-wave DFT calculation with PBE was carried out for an optimized crystal structure of BaFeTe2.

- Energy relative to the elements, uncorrected: -274 meV/atom

Unit cell a=4.6005 b=6.6329 c=8.1449 alpha=90.00 beta=90.00 gamma=90.00
Closest atoms and distances in Å follow each position.
Sites, in units of the cell vectors:
Ba (0.0000, 0.0000, 0.0000)  4 Te 3.33
Ba (0.5000, 0.5000, 0.0000)  4 Te 3.33
Fe (0.0000, 0.0000, 0.5000)  4 Te 2.84
Fe (0.5000, 0.5000, 0.5000)  4 Te 2.84
Te (0.0000, 0.5000, 0.2951)  2 Fe 2.84
Te (0.0000, 0.5000, 0.7049)  2 Fe 2.84
Te (0.5000, 0.0000, 0.2951)  2 Fe 2.84
Te (0.5000, 0.0000, 0.7049)  2 Fe 2.84

# 6
A plane-wave DFT calculation with PBE was carried out for an optimized crystal structure of SrCaMg3.

- Offset from the most stable computed form: 0 meV/atom

Unit cell a=5.8928 b=5.8928 c=5.8928 alpha=90.00 beta=90.00 gamma=90.00
Closest atoms and distances in Å follow each position.
Sites, in units of the cell vectors:
Sr (0.0000, 0.0000, 0.0000)  12 Mg 4.17
Ca (0.5000, 0.5000, 0.5000)  6 Mg 2.95
Mg (0.0000, 0.5000, 0.5000)  2 Ca 2.95
Mg (0.5000, 0.0000, 0.5000)  2 Ca 2.95
Mg (0.5000, 0.5000, 0.0000)  2 Ca 2.95

# 7
A plane-wave DFT calculation with PBE was carried out for an optimized crystal structure of ScTlSn.

- Offset from the most stable computed form: 133 meV/atom

Unit cell a=3.5654 b=3.5654 c=11.8490 alpha=90.00 beta=90.00 gamma=90.00
Closest atoms and distances in Å follow each position.
Sites, in units of the cell vectors:
Sc (0.0000, 0.0000, 0.0000)  4 Sn 3.09, 4 Tl 3.19
Sc (0.5000, 0.5000, 0.5000)  4 Sn 3.09, 4 Tl 3.19
Tl (0.0000, 0.0000, 0.3352)  4 Sc 3.19, 4 Sn 3.34, 4 Tl 3.57
Tl (0.5000, 0.5000, 0.8352)  4 Sc 3.19, 4 Sn 3.34, 4 Tl 3.57
Sn (0.0000, 0.0000, 0.6503)  4 Sc 3.09, 4 Tl 3.34
Sn (0.5000, 0.5000, 0.1503)  4 Sc 3.09, 4 Tl 3.34

# 8
A plane-wave DFT calculation with PBE was carried out for an optimized crystal structure of NaTb2Pm.

- Offset from the most stable computed form: 33 meV/atom

Unit cell a=3.5327 b=3.5327 c=38.3735 alpha=90.00 beta=90.00 gamma=120.00
Closest atoms and distances in Å follow each position.
Sites, in units of the cell vectors:
Na (0.0000, 0.0000, 0.0000)  2 Tb 3.51, 6 Na 3.53
Na (0.3333, 0.6667, 0.6667)  2 Tb 3.51, 6 Na 3.53
Na (0.6667, 0.3333, 0.3333)  2 Tb 3.51, 6 Na 3.53
Tb (0.0000, 0.0000, 0.0915)  1 Na 3.51, 6 Tb 3.53, 3 Pm 3.53
Tb (0.0000, 0.0000, 0.9085)  1 Na 3.51, 6 Tb 3.53, 3 Pm 3.53
Tb (0.3333, 0.6667, 0.5752)  1 Na 3.51, 6 Tb 3.53, 3 Pm 3.53
Tb (0.3333, 0.6667, 0.7582)  1 Na 3.51, 6 Tb 3.53, 3 Pm 3.53
Tb (0.6667, 0.3333, 0.2418)  1 Na 3.51, 6 Tb 3.53, 3 Pm 3.53
Tb (0.6667, 0.3333, 0.4248)  1 Na 3.51, 6 Tb 3.53, 3 Pm 3.53
Pm (0.0000, 0.0000, 0.5000)  6 Pm 3.53, 6 Tb 3.53
Pm (0.3333, 0.6667, 0.1667)  6 Pm 3.53, 6 Tb 3.53
Pm (0.6667, 0.3333, 0.8333)  6 Pm 3.53, 6 Tb 3.53

# 9
A plane-wave DFT calculation with PBE was carried out for an optimized crystal structure of Sb2PbCl.

- Offset from the most stable computed form: 307 meV/atom
- Energy relative to the elements, uncorrected: 63 meV/atom

Unit cell a=7.5322 b=7.5322 c=7.5322 alpha=90.00 beta=90.00 gamma=90.00
Closest atoms and distances in Å follow each position.
Sites, in units of the cell vectors:
Sb (0.2500, 0.2500, 0.2500)  4 Cl 3.26, 4 Pb 3.26
Sb (0.2500, 0.2500, 0.7500)  4 Cl 3.26, 4 Pb 3.26
Sb (0.2500, 0.7500, 0.2500)  4 Cl 3.26, 4 Pb 3.26
Sb (0.2500, 0.7500, 0.7500)  4 Cl 3.26, 4 Pb 3.26
Sb (0.7500, 0.2500, 0.2500)  4 Cl 3.26, 4 Pb 3.26
Sb (0.7500, 0.2500, 0.7500)  4 Cl 3.26, 4 Pb 3.26
Sb (0.7500, 0.7500, 0.2500)  4 Cl 3.26, 4 Pb 3.26
Sb (0.7500, 0.7500, 0.7500)  4 Cl 3.26, 4 Pb 3.26
Pb (0.0000, 0.0000, 0.0000)  8 Sb 3.26
Pb (0.0000, 0.5000, 0.5000)  8 Sb 3.26
Pb (0.5000, 0.0000, 0.5000)  8 Sb 3.26
Pb (0.5000, 0.5000, 0.0000)  8 Sb 3.26
Cl (0.0000, 0.0000, 0.5000)  8 Sb 3.26
Cl (0.0000, 0.5000, 0.0000)  8 Sb 3.26
Cl (0.5000, 0.0000, 0.0000)  8 Sb 3.26
Cl (0.5000, 0.5000, 0.5000)  8 Sb 3.26

# 10
A plane-wave DFT calculation with PBE was carried out for an optimized crystal structure of CsVZn2Br8.

- Energy relative to the elements, uncorrected: -922 meV/atom

Unit cell a=11.9631 b=11.9631 c=11.9631 alpha=31.73 beta=31.73 gamma=31.73
Closest atoms and distances in Å follow each position.
Sites, in units of the cell vectors:
Cs (0.0000, 0.0000, 0.0000)  6 Br 3.89
V (0.5000, 0.5000, 0.5000)  6 Br 2.61
Zn (0.2362, 0.2362, 0.2362)  4 Br 2.39-2.47
Zn (0.7638, 0.7638, 0.7638)  4 Br 2.39-2.47
Br (0.1566, 0.4310, 0.7632)  1 Zn 2.47, 1 V 2.61
Br (0.2368, 0.5690, 0.8434)  1 Zn 2.47, 1 V 2.61
Br (0.3062, 0.3062, 0.3062)  1 Zn 2.39
Br (0.4310, 0.7632, 0.1566)  1 Zn 2.47, 1 V 2.61
Br (0.5690, 0.8434, 0.2368)  1 Zn 2.47, 1 V 2.61
Br (0.6938, 0.6938, 0.6938)  1 Zn 2.39
Br (0.7632, 0.1566, 0.4310)  1 Zn 2.47, 1 V 2.61
Br (0.8434, 0.2368, 0.5690)  1 Zn 2.47, 1 V 2.61

# 11
A plane-wave DFT calculation with PBE was carried out for an optimized crystal structure of BePCS2.

- Offset from the most stable computed form: 0 meV/atom
- Energy relative to the elements, uncorrected: 1314 meV/atom

Unit cell a=4.4497 b=4.4497 c=3.5026 alpha=90.00 beta=90.00 gamma=90.00
Closest atoms and distances in Å follow each position.
Sites, in units of the cell vectors:
Be (0.0000, 0.0000, 0.0000)  8 S 2.83, 4 P 3.15
P (0.5000, 0.5000, 0.0000)  2 C 1.75
C (0.5000, 0.5000, 0.5000)  2 P 1.75
S (0.0000, 0.5000, 0.5000)  2 C 2.22
S (0.5000, 0.0000, 0.5000)  2 C 2.22

# 12
A plane-wave DFT calculation with PBE was carried out for an optimized crystal structure of In2BPd8.

Unit cell a=7.4675 b=7.4675 c=7.4675 alpha=143.63 beta=135.13 gamma=59.08
Closest atoms and distances in Å follow each position.
Sites, in units of the cell vectors:
In (0.1876, 0.1876, 0.0000)  12 Pd 2.83-2.91
In (0.8124, 0.8124, 0.0000)  12 Pd 2.83-2.91
B (0.5000, 0.5000, 0.0000)  4 Pd 2.09
Pd (0.1320, 0.3827, 0.7493)  1 B 2.09
Pd (0.2525, 0.0000, 0.2525)  2 B 2.72, 8 Pd 2.78-2.88, 2 In 2.83
Pd (0.3113, 0.8113, 0.5000)  8 Pd 2.83-2.89, 4 In 2.83-2.85
Pd (0.3666, 0.6173, 0.7493)  1 B 2.09
Pd (0.6334, 0.3827, 0.2507)  1 B 2.09
Pd (0.6887, 0.1887, 0.5000)  8 Pd 2.83-2.89, 4 In 2.83-2.85
Pd (0.7475, 0.0000, 0.7475)  2 B 2.72, 8 Pd 2.78-2.88, 2 In 2.83
Pd (0.8680, 0.6173, 0.2507)  1 B 2.09

Number 1: total magnetization 0.09 μB/cell, E_tot -29.45 eV/cell, N(E_F) 10.37 states/eV/cell. Number 2: total magnetization 5.43 μB/cell, E_tot -29.03 eV/cell, N(E_F) 6.29 states/eV/cell. Number 3: total magnetization 0.00 μB/cell, E_tot -24.10 eV/cell, N(E_F) 5.11 states/eV/cell. Number 4: total magnetization 0.00 μB/cell, E_tot -89.57 eV/cell, N(E_F) 5.32 states/eV/cell. Number 5: total magnetization 6.88 μB/cell, E_tot -35.53 eV/cell, N(E_F) 9.06 states/eV/cell. Number 6: total magnetization 0.00 μB/cell, E_tot -5.92 eV/cell, N(E_F) 5.79 states/eV/cell. Number 7: total magnetization 0.00 μB/cell, E_tot -26.29 eV/cell, N(E_F) 4.48 states/eV/cell. Number 8: total magnetization 0.00 μB/cell, E_tot -43.93 eV/cell, N(E_F) 17.29 states/eV/cell. Number 9: total magnetization 0.00 μB/cell, E_tot -54.19 eV/cell, N(E_F) 8.81 states/eV/cell. Number 10: total magnetization 2.00 μB/cell, E_tot -36.97 eV/cell, N(E_F) 6.26 states/eV/cell. Number 11: total magnetization 0.00 μB/cell, E_tot -20.04 eV/cell, N(E_F) 1.08 states/eV/cell. Number 12: total magnetization 0.00 μB/cell, E_tot -57.31 eV/cell, N(E_F) 4.19 states/eV/cell.